(1)
Density functional theory data (PBE) for Y3HoMg after structural relaxation.

Summary:
Its relative energy among the computed polymorphs is 65.5 meV per atom. The volume is 310.02 Å³/cell. The crystal system is monoclinic. The formation energy comes out at 58 meV/atom.

Unit cell a=3.497 b=6.941 c=12.890 alpha=90.00 beta=97.78 gamma=90.00
Space group P2_1/m (No. 11)
Asymmetric unit:
Y 0.099 0.009 0.199 (multiplicity 4)
Y 0.295 0.750 0.589 (multiplicity 2)
Ho 0.499 0.250 0.997 (multiplicity 2)
Mg 0.314 0.250 0.630 (multiplicity 2)

(2)
Density functional theory data (PBE) for YHo2Mg after structural relaxation.

Summary:
Its relative energy among the computed polymorphs is 157.3 meV per atom. The volume is 487.33 Å³/cell. The crystal system is monoclinic. The formation energy comes out at 125 meV/atom.

Unit cell a=12.874 b=3.428 c=11.076 alpha=90.00 beta=94.55 gamma=90.00
Space group C2/m (No. 12)
Asymmetric unit:
Y 0.132 0.000 0.002 (multiplicity 4)
Ho 0.012 0.000 0.283 (multiplicity 4)
Ho 0.240 0.500 0.256 (multiplicity 4)
Mg 0.132 0.500 0.513 (multiplicity 4)

(3)
Density functional theory data (PBE) for YHoMgZr after structural relaxation.

Summary:
The volume is 433.40 Å³/cell. The crystal system is cubic. The formation energy comes out at 127 meV/atom.

Unit cell a=7.568 b=7.568 c=7.568 alpha=90.00 beta=90.00 gamma=90.00
Space group F-43m (No. 216)
Asymmetric unit:
Y 0.000 0.000 0.000 (multiplicity 4)
Ho 0.000 0.000 0.500 (multiplicity 4)
Mg 0.250 0.250 0.250 (multiplicity 4)
Zr 0.250 0.250 0.750 (multiplicity 4)

(4)
Density functional theory data (PBE) for HoMg2Zn after structural relaxation.

Summary:
The volume is 345.80 Å³/cell. The crystal system is cubic. The formation energy comes out at -34 meV/atom.

Unit cell a=7.019 b=7.019 c=7.019 alpha=90.00 beta=90.00 gamma=90.00
Space group Fm-3m (No. 225)
Asymmetric unit:
Ho 0.000 0.000 0.000 (multiplicity 4)
Mg 0.250 0.250 0.250 (multiplicity 8)
Zn 0.000 0.000 0.500 (multiplicity 4)

(5)
Density functional theory data (PBE) for Ho2Mg3Zn2 after structural relaxation.

Summary:
Its relative energy among the computed polymorphs is 4.2 meV per atom. The volume is 321.70 Å³/cell. The crystal system is orthorhombic. The formation energy comes out at -180 meV/atom.

Unit cell a=4.517 b=20.992 c=3.393 alpha=90.00 beta=90.00 gamma=90.00
Space group Cmmm (No. 65)
Asymmetric unit:
Ho 0.000 0.166 0.000 (multiplicity 4)
Mg 0.000 0.000 0.000 (multiplicity 2)
Mg 0.000 0.424 0.500 (multiplicity 4)
Zn 0.000 0.285 0.500 (multiplicity 4)

(6)
Density functional theory data (PBE) for Ho11Mg9Zn4 after structural relaxation.

Summary:
The volume is 1219.68 Å³/cell. The crystal system is orthorhombic. The formation energy comes out at -152 meV/atom.

Unit cell a=14.636 b=22.207 c=3.753 alpha=90.00 beta=90.00 gamma=90.00
Space group Cmmm (No. 65)
Asymmetric unit:
Ho 0.000 0.000 0.000 (multiplicity 2)
Ho 0.000 0.159 0.000 (multiplicity 4)
Ho 0.000 0.362 0.000 (multiplicity 4)
Ho 0.210 0.500 0.000 (multiplicity 4)
Ho 0.247 0.169 0.000 (multiplicity 8)
Mg 0.000 0.500 0.500 (multiplicity 2)
Mg 0.110 0.257 0.500 (multiplicity 8)
Mg 0.139 0.074 0.500 (multiplicity 8)
Zn 0.144 0.405 0.500 (multiplicity 8)

(7)
Density functional theory data (PBE) for HoMg2Zn10 after structural relaxation.

Summary:
The volume is 878.18 Å³/cell. The crystal system is orthorhombic. The formation energy comes out at -133 meV/atom.

Unit cell a=5.525 b=12.449 c=12.768 alpha=90.00 beta=90.00 gamma=90.00
Space group Fmmm (No. 69)
Asymmetric unit:
Ho 0.000 0.000 0.000 (multiplicity 4)
Mg 0.250 0.000 0.250 (multiplicity 8)
Zn 0.000 0.110 0.396 (multiplicity 16)
Zn 0.000 0.181 0.173 (multiplicity 16)
Zn 0.250 0.250 0.000 (multiplicity 8)

(8)
Density functional theory data (PBE) for Ho3Mg2Zn4 after structural relaxation.

Summary:
The volume is 189.71 Å³/cell. The crystal system is trigonal. The formation energy comes out at -258 meV/atom.

Unit cell a=4.9043 b=4.9043 c=9.1090 alpha=90.00 beta=90.00 gamma=120.00
Space group P-3m1 (No. 164)
Asymmetric unit:
Ho 0.0000 0.0000 0.0000 (multiplicity 1)
Ho 0.3333 0.6667 0.5957 (multiplicity 2)
Mg 0.3333 0.6667 0.2227 (multiplicity 2)
Zn 0.0000 0.0000 0.3443 (multiplicity 2)
Zn 0.3333 0.6667 0.9131 (multiplicity 2)

(9)
Density functional theory data (PBE) for HoMg2Zn after structural relaxation.

Summary:
The volume is 89.68 Å³/cell. The crystal system is tetragonal. The formation energy comes out at -75 meV/atom.

Unit cell a=3.302 b=3.302 c=8.223 alpha=90.00 beta=90.00 gamma=90.00
Space group P4/mmm (No. 123)
Asymmetric unit:
Ho 0.000 0.000 0.000 (multiplicity 1)
Mg 0.500 0.500 0.296 (multiplicity 2)
Zn 0.000 0.000 0.500 (multiplicity 1)

(10)
Density functional theory data (PBE) for Ho3Mg2Zn after structural relaxation.

Summary:
The volume is 152.21 Å³/cell. The crystal system is tetragonal. The formation energy comes out at -160 meV/atom.

Unit cell a=3.635 b=3.635 c=11.520 alpha=90.00 beta=90.00 gamma=90.00
Space group P4/mmm (No. 123)
Asymmetric unit:
Ho 0.000 0.000 0.000 (multiplicity 1)
Ho 0.000 0.000 0.352 (multiplicity 2)
Mg 0.500 0.500 0.173 (multiplicity 2)
Zn 0.500 0.500 0.500 (multiplicity 1)

(11)
Density functional theory data (PBE) for HoMg8Zn4 after structural relaxation.

Summary:
The volume is 523.05 Å³/cell. The crystal system is tetragonal. The formation energy comes out at -118 meV/atom.

Unit cell a=9.677 b=9.677 c=5.585 alpha=90.00 beta=90.00 gamma=90.00
Space group I4/mmm (No. 139)
Asymmetric unit:
Ho 0.000 0.000 0.000 (multiplicity 2)
Mg 0.000 0.214 0.500 (multiplicity 8)
Mg 0.000 0.345 0.000 (multiplicity 8)
Zn 0.250 0.250 0.250 (multiplicity 8)

(12)
Density functional theory data (PBE) for HoMg2Zn after structural relaxation.

Summary:
The volume is 286.90 Å³/cell. The crystal system is trigonal. The formation energy comes out at 191 meV/atom.

Unit cell a=3.1731 b=3.1731 c=32.9025 alpha=90.00 beta=90.00 gamma=120.00
Space group R-3m (No. 166, hexagonal axes)
Asymmetric unit:
Ho 0.0000 0.0000 0.0000 (multiplicity 3)
Mg 0.0000 0.0000 0.0976 (multiplicity 6)
Zn 0.0000 0.0000 0.5000 (multiplicity 3)

Repeat the twelfth record exactly.
Density functional theory data (PBE) for HoMg2Zn after structural relaxation.

Summary:
The volume is 286.90 Å³/cell. The crystal system is trigonal. The formation energy comes out at 191 meV/atom.

Unit cell a=3.1731 b=3.1731 c=32.9025 alpha=90.00 beta=90.00 gamma=120.00
Space group R-3m (No. 166, hexagonal axes)
Asymmetric unit:
Ho 0.0000 0.0000 0.0000 (multiplicity 3)
Mg 0.0000 0.0000 0.0976 (multiplicity 6)
Zn 0.0000 0.0000 0.5000 (multiplicity 3)